No. 1
Crystalline La4Te2AsN at its relaxed geometry. Source: Alexandria, functional GGA-PBE.

## Properties
Symmetry: P2/m, No. 10
Energy, eV per atom: -6.33

Cell: 4.2393 7.3530 7.7732 Å, 108.35 90.00 90.00°
Last column: nearest neighbours and their distance in Å.
Element x y z (fractional)
La 0.5000 0.2650 0.2067  1 N 2.70, 2 As 2.98
La 0.5000 0.7350 0.7933  1 N 2.70, 2 As 2.98
La 0.0000 0.2867 0.8005  2 N 2.80, 1 As 2.98
La 0.0000 0.7133 0.1995  2 N 2.80, 1 As 2.98
Te 0.5000 0.0000 0.5000  6 La 3.36-3.43
Te 0.0000 0.5000 0.5000  6 La 3.19-3.20
As 0.0000 0.0000 0.0000  6 La 2.98
N 0.5000 0.5000 0.0000  6 La 2.70-2.80



No. 2
Crystalline LiAlTe2I at its relaxed geometry. Source: Alexandria, functional GGA-PBE.

## Properties
Symmetry: P4/mmm, No. 123
Energy, eV per atom: -2.84

Cell: 5.3551 5.3551 5.9253 Å, 90.00 90.00 90.00°
Last column: nearest neighbours and their distance in Å.
Element x y z (fractional)
I 0.0000 0.0000 0.5000  2 Al 2.96
Te 0.0000 0.5000 0.0000  2 Al 2.68
Te 0.5000 0.0000 0.0000  2 Al 2.68
Al 0.0000 0.0000 0.0000  4 Te 2.68, 2 I 2.96
Li 0.5000 0.5000 0.5000  4 I 3.79, 8 Te 3.99



No. 3
Crystalline Zr2Ti2Ga at its relaxed geometry. Source: Alexandria, functional GGA-PBE.

## Properties
Symmetry: P4/mbm, No. 127
Energy, eV per atom: -7.32
Formation enthalpy at 0 K, eV/atom: -0.1381

Cell: 6.9969 6.9969 3.9572 Å, 90.00 90.00 90.00°
Last column: nearest neighbours and their distance in Å.
Element x y z (fractional)
Ga 0.0000 0.0000 0.0000  4 Ti 2.72
Ga 0.5000 0.5000 0.0000  4 Ti 2.72
Zr 0.1688 0.6688 0.5000  6 Ti 2.77-2.91
Zr 0.6688 0.8312 0.5000  6 Ti 2.77-2.91
Zr 0.8312 0.3312 0.5000  6 Ti 2.77-2.91
Zr 0.3312 0.1688 0.5000  6 Ti 2.77-2.91
Ti 0.3653 0.8653 0.0000  1 Ti 2.67, 2 Ga 2.72, 6 Zr 2.77-2.91
Ti 0.8653 0.6347 0.0000  1 Ti 2.67, 2 Ga 2.72, 6 Zr 2.77-2.91
Ti 0.6347 0.1347 0.0000  1 Ti 2.67, 2 Ga 2.72, 6 Zr 2.77-2.91
Ti 0.1347 0.3653 0.0000  1 Ti 2.67, 2 Ga 2.72, 6 Zr 2.77-2.91